The following is a GGA-PBE calculation of a geometry-optimized Tb2Ho5Tm4 structure, from the Alexandria database.

```
Tb2Ho5Tm4
1.0
5.494 0.000 -0.989
-1.260 5.827 -6.998
1.156 -9.423 22.177
Ho Tm Tb
5 4 2
direct
0.212 0.520 0.423
0.500 0.000 0.000
0.788 0.480 0.577
0.158 0.886 0.316
0.842 0.114 0.684
0.315 0.375 0.629
0.685 0.625 0.371
0.948 0.990 0.897
0.052 0.010 0.103
0.590 0.787 0.179
0.410 0.213 0.821
```

Computed properties:
* crystal system: monoclinic
* final energy: -4.45 eV/atom
* mass density: 8.8 g/cm3
* D(E_F): 19.19 states/eV/cell
* excess energy over the best structure of this formula in the dataset: 0 meV per atom

The following is a GGA-PBE calculation of a geometry-optimized LaDyHo4Tm2 structure, from the Alexandria database.

```
LaDyHo4Tm2
1.0
12.199 -0.082 -1.263
-0.215 6.630 -2.511
-7.321 -4.518 8.733
Ho Dy Tm La
8 2 4 2
direct
0.251 0.744 0.997
0.749 0.242 0.495
0.749 0.750 0.003
0.749 0.748 0.495
0.250 0.251 0.504
0.749 0.257 0.003
0.251 0.758 0.504
0.251 0.250 0.997
0.000 0.500 0.000
0.000 0.500 0.500
0.500 0.000 0.000
0.500 0.000 0.500
0.500 0.500 0.000
0.000 0.000 0.500
0.500 0.500 0.500
0.000 0.000 0.000
```

Computed properties:
* crystal system: orthorhombic
* final energy: -4.57 eV/atom
* mass density: 8.6 g/cm3
* D(E_F): 21.10 states/eV/cell

What did the first record say?
The following is a GGA-PBE calculation of a geometry-optimized Tb2Ho5Tm4 structure, from the Alexandria database.

```
Tb2Ho5Tm4
1.0
5.494 0.000 -0.989
-1.260 5.827 -6.998
1.156 -9.423 22.177
Ho Tm Tb
5 4 2
direct
0.212 0.520 0.423
0.500 0.000 0.000
0.788 0.480 0.577
0.158 0.886 0.316
0.842 0.114 0.684
0.315 0.375 0.629
0.685 0.625 0.371
0.948 0.990 0.897
0.052 0.010 0.103
0.590 0.787 0.179
0.410 0.213 0.821
```

Computed properties:
* crystal system: monoclinic
* final energy: -4.45 eV/atom
* mass density: 8.8 g/cm3
* D(E_F): 19.19 states/eV/cell
* excess energy over the best structure of this formula in the dataset: 0 meV per atom

What is the D(E_F) in the first record?
19.19 states/eV/cell